1.
DFT (PBE) results for an optimized crystal structure of Na3NbIn.

abc: 5.885 5.885 5.885
angles: 90.00 90.00 90.00
Last column: magnetic moment on the atom in μB.
Fractional coordinates of all 5 atoms:
Na: 0.000 0.500 0.000  0.04
Na: 0.000 0.000 0.500  0.03
Nb: 0.000 0.000 0.000  3.29
Na: 0.500 0.000 0.000  0.06
In: 0.500 0.500 0.500  -0.02

Values from the calculation:
Energy above the lowest structure with this stoichiometry: 59 meV per atom

2.
DFT (PBE) results for an optimized crystal structure of NaNb3In.

abc: 4.720 4.720 4.720
angles: 90.00 90.00 90.00
Fractional coordinates of all 5 atoms:
Nb: 0.000 0.000 0.500
In: 0.500 0.500 0.500
Nb: 0.500 0.000 0.000
Nb: 0.000 0.500 0.000
Na: 0.000 0.000 0.000

Values from the calculation:
Energy above the lowest structure with this stoichiometry: 0 meV per atom

3.
DFT (PBE) results for an optimized crystal structure of NaNb2In.

abc: 7.972 7.972 6.251
angles: 50.38 50.38 90.00
Fractional coordinates of all 8 atoms:
Na: 0.500 0.500 0.000
In: 0.000 0.000 0.000
Nb: 0.375 0.366 0.750
Nb: 0.116 0.625 0.250
In: 0.750 0.250 0.500
Nb: 0.634 0.125 0.250
Nb: 0.875 0.884 0.750
Na: 0.250 0.750 0.500

4.
DFT (PBE) results for an optimized crystal structure of NaNb2In2.

abc: 8.743 8.743 2.971
angles: 90.00 90.00 90.00
Fractional coordinates of all 10 atoms:
Nb: 0.107 0.393 0.000
Na: 0.500 0.500 0.000
In: 0.685 0.815 0.500
Nb: 0.607 0.107 0.000
In: 0.315 0.185 0.500
In: 0.185 0.685 0.500
Na: 0.000 0.000 0.000
In: 0.815 0.315 0.500
Nb: 0.393 0.893 0.000
Nb: 0.893 0.607 0.000

Values from the calculation:
Energy above the lowest structure with this stoichiometry: 0 meV per atom

Number 1: E_form 1.2045 eV per atom, calculated total energy -2.149 eV per atom, volume 204 Å³ per cell. Number 2: E_form 1.7929 eV per atom, calculated total energy -5.060 eV per atom, volume 105 Å³ per cell. Number 3: E_form 0.9231 eV per atom, calculated total energy -5.126 eV per atom, volume 172 Å³ per cell. Number 4: E_form 0.1840 eV per atom, calculated total energy -5.203 eV per atom, volume 227 Å³ per cell.